# 1
Below is crystalline NdMg6Ni6 at its relaxed geometry, with properties calculated at the PBE level. Values from VASP.

Quantum ESPRESSO input file:
```
&SYSTEM
  ibrav = 0, nat = 13, ntyp = 3
/
ATOMIC_SPECIES
Nd 144.24 Nd.upf
Mg 24.30 Mg.upf
Ni 58.69 Ni.upf
CELL_PARAMETERS angstrom
-2.567 4.433 4.538
2.567 -4.433 4.538
2.567 4.433 -4.538
ATOMIC_POSITIONS angstrom
Nd 0.000 0.000 0.000
Mg 2.567 0.000 1.747
Mg 0.000 2.983 0.000
Mg 0.000 0.000 3.161
Mg 0.000 0.000 5.915
Mg 0.000 5.884 0.000
Mg 0.000 4.433 2.792
Ni 1.284 2.217 -2.269
Ni 1.284 -2.217 2.269
Ni 2.567 2.055 0.000
Ni -1.284 2.217 2.269
Ni 1.284 2.217 2.269
Ni 0.000 2.379 4.538
```

SG	Immm, No. 71
density	5.161	g cm⁻³
DFT formation energy	-2.3	eV per formula unit

***

# 2
Below is crystalline NdMg4Ni2 at its relaxed geometry, with properties calculated at the PBE level. Values from VASP.

Quantum ESPRESSO input file:
```
&SYSTEM
  ibrav = 0, nat = 7, ntyp = 3
/
ATOMIC_SPECIES
Nd 144.24 Nd.upf
Mg 24.30 Mg.upf
Ni 58.69 Ni.upf
CELL_PARAMETERS angstrom
2.103 -8.026 0.000
2.103 8.026 0.000
0.000 0.000 4.194
ATOMIC_POSITIONS angstrom
Nd 0.000 0.000 0.000
Mg 2.103 5.233 2.097
Mg 2.103 2.788 0.000
Mg 2.103 -2.788 0.000
Mg 2.103 -5.233 2.097
Ni 2.103 1.165 2.097
Ni 2.103 -1.165 2.097
```

excess energy over the best structure of this formula in the dataset	0.10	eV per formula unit
SG	Cmmm, No. 65
density	4.209	g cm⁻³
DFT formation energy	-1.0	eV per formula unit

***

# 3
Below is crystalline Nd4MgNi at its relaxed geometry, with properties calculated at the PBE level. Values from VASP.

Quantum ESPRESSO input file:
```
&SYSTEM
  ibrav = 0, nat = 24, ntyp = 3
/
ATOMIC_SPECIES
Nd 144.24 Nd.upf
Mg 24.30 Mg.upf
Ni 58.69 Ni.upf
CELL_PARAMETERS angstrom
0.000 7.025 7.025
7.025 0.000 7.025
7.025 7.025 0.000
ATOMIC_POSITIONS angstrom
Nd 7.025 7.025 2.616
Nd 7.025 2.616 7.025
Nd 11.433 7.025 7.025
Nd 5.678 5.678 5.678
Nd 8.372 8.372 5.678
Nd 8.372 5.678 8.372
Nd 10.537 10.537 7.870
Nd 10.537 7.870 10.537
Nd 13.204 10.537 10.537
Nd 5.678 8.372 8.372
Nd 2.616 7.025 7.025
Nd 7.025 11.433 7.025
Nd 7.025 7.025 11.433
Nd 7.870 10.537 10.537
Nd 10.537 13.204 10.537
Nd 10.537 10.537 13.204
Mg 2.402 2.402 2.402
Mg 4.623 4.623 2.402
Mg 4.623 2.402 4.623
Mg 2.402 4.623 4.623
Ni 8.537 5.512 5.512
Ni 5.512 8.537 5.512
Ni 5.512 5.512 8.537
Ni 8.537 8.537 8.537
```

excess energy over the best structure of this formula in the dataset	0.00	eV per formula unit
SG	F-43m, No. 216
density	6.323	g cm⁻³
DFT formation energy	-1.0	eV per formula unit

***

# 4
Below is crystalline Nd3MgNi at its relaxed geometry, with properties calculated at the PBE level. Values from VASP.

Quantum ESPRESSO input file:
```
&SYSTEM
  ibrav = 0, nat = 20, ntyp = 3
/
ATOMIC_SPECIES
Nd 144.24 Nd.upf
Mg 24.30 Mg.upf
Ni 58.69 Ni.upf
CELL_PARAMETERS angstrom
10.339 0.000 0.000
0.000 5.732 0.000
-5.767 0.000 9.697
ATOMIC_POSITIONS angstrom
Nd -1.975 0.996 3.455
Nd -4.858 1.870 8.304
Nd -0.145 4.039 5.207
Nd 2.738 4.559 0.359
Nd -1.285 1.299 7.485
Nd 1.598 1.567 2.637
Nd 2.974 4.165 7.060
Nd 5.857 4.433 2.212
Nd 1.834 1.173 9.338
Nd 4.718 1.693 4.490
Nd 9.430 3.862 1.393
Nd 6.547 4.736 6.242
Mg 1.649 1.240 5.916
Mg 4.533 1.626 1.067
Mg 0.040 4.106 8.630
Mg 2.923 4.491 3.782
Ni -0.316 0.823 0.891
Ni -3.200 2.043 5.740
Ni 7.772 3.689 3.957
Ni 4.889 4.909 8.806
```

excess energy over the best structure of this formula in the dataset	0.00	eV per formula unit
SG	P2_1/c, No. 14
density	5.961	g cm⁻³
DFT formation energy	-0.6	eV per formula unit

***

# 5
Below is crystalline Nd2MgNi at its relaxed geometry, with properties calculated at the PBE level. Values from VASP.

Quantum ESPRESSO input file:
```
&SYSTEM
  ibrav = 0, nat = 4, ntyp = 3
/
ATOMIC_SPECIES
Nd 144.24 Nd.upf
Mg 24.30 Mg.upf
Ni 58.69 Ni.upf
CELL_PARAMETERS angstrom
1.997 1.153 8.482
-1.997 1.153 8.482
0.000 -2.306 8.482
ATOMIC_POSITIONS angstrom
Nd 0.000 0.000 0.000
Nd 0.000 0.000 5.346
Mg 0.000 0.000 19.626
Ni 0.000 0.000 15.416
```

excess energy over the best structure of this formula in the dataset	0.49	eV per formula unit
SG	R3m, No. 160
density	5.262	g cm⁻³
DFT formation energy	-0.1	eV per formula unit

***

# 6
Below is crystalline Nd3Mg2Ni4 at its relaxed geometry, with properties calculated at the PBE level. Values from VASP.

Quantum ESPRESSO input file:
```
&SYSTEM
  ibrav = 0, nat = 9, ntyp = 3
/
ATOMIC_SPECIES
Nd 144.24 Nd.upf
Mg 24.30 Mg.upf
Ni 58.69 Ni.upf
CELL_PARAMETERS angstrom
5.059 -2.065 0.000
5.059 2.065 0.000
-0.843 0.000 8.884
ATOMIC_POSITIONS angstrom
Nd 0.000 0.000 0.000
Nd 3.237 0.000 5.516
Nd 6.038 0.000 3.368
Mg 3.119 0.000 1.922
Mg 6.156 0.000 6.962
Ni 0.258 0.000 5.474
Ni 2.063 0.000 8.231
Ni 7.212 0.000 0.653
Ni 9.017 0.000 3.410
```

SG	C2/m, No. 12
density	6.406	g cm⁻³
DFT formation energy	-2.3	eV per formula unit

***

# 7
Below is crystalline NdMg9Ni2 at its relaxed geometry, with properties calculated at the PBE level. Values from VASP.

Quantum ESPRESSO input file:
```
&SYSTEM
  ibrav = 0, nat = 24, ntyp = 3
/
ATOMIC_SPECIES
Nd 144.24 Nd.upf
Mg 24.30 Mg.upf
Ni 58.69 Ni.upf
CELL_PARAMETERS angstrom
-5.785 5.785 3.742
5.785 -5.785 3.742
5.785 5.785 -3.742
ATOMIC_POSITIONS angstrom
Nd 5.785 2.892 0.935
Nd 0.000 2.892 2.806
Mg 5.785 -2.892 2.806
Mg 4.371 -0.625 1.425
Mg 7.199 -0.625 1.425
Mg 2.268 1.478 0.446
Mg 9.302 1.478 0.446
Mg 4.371 5.160 -1.425
Mg 1.414 -0.625 2.316
Mg 2.268 4.307 0.446
Mg 3.517 -1.478 4.187
Mg 2.268 7.263 -0.446
Mg 3.517 1.478 3.296
Mg 4.371 6.410 1.425
Mg 1.414 0.625 5.167
Mg -3.517 4.307 3.296
Mg 3.517 4.307 3.296
Mg -1.414 6.410 2.316
Mg 1.414 6.410 2.316
Mg 0.000 8.677 0.935
Ni 0.000 0.000 0.000
Ni 2.892 2.892 -1.871
Ni 2.892 -2.892 1.871
Ni 0.000 5.785 0.000
```

SG	I4_1/amd, No. 141
density	3.185	g cm⁻³
DFT formation energy	-0.8	eV per formula unit

***

# 8
Below is crystalline NdMgNi at its relaxed geometry, with properties calculated at the PBE level. Values from VASP.

Quantum ESPRESSO input file:
```
&SYSTEM
  ibrav = 0, nat = 18, ntyp = 3
/
ATOMIC_SPECIES
Nd 144.24 Nd.upf
Mg 24.30 Mg.upf
Ni 58.69 Ni.upf
CELL_PARAMETERS angstrom
13.054 0.000 0.000
0.000 3.954 0.000
0.000 0.000 7.625
ATOMIC_POSITIONS angstrom
Nd 0.552 0.000 1.743
Nd 3.263 0.000 6.579
Nd 5.974 0.000 1.743
Nd 7.079 0.000 5.882
Nd 9.790 0.000 1.046
Nd 12.501 0.000 5.882
Mg 1.706 1.977 4.326
Mg 3.263 1.977 1.602
Mg 4.821 1.977 4.326
Mg 8.233 1.977 3.299
Mg 9.790 1.977 6.023
Mg 11.348 1.977 3.299
Ni 1.191 1.977 7.209
Ni 3.263 0.000 3.376
Ni 5.335 1.977 7.209
Ni 7.718 1.977 0.416
Ni 9.790 0.000 4.249
Ni 11.862 1.977 0.416
```

SG	Pmma, No. 51
density	5.753	g cm⁻³
DFT formation energy	-0.8	eV per formula unit

***

# 9
Below is crystalline Nd2MgNi at its relaxed geometry, with properties calculated at the PBE level. Values from VASP.

Quantum ESPRESSO input file:
```
&SYSTEM
  ibrav = 0, nat = 8, ntyp = 3
/
ATOMIC_SPECIES
Nd 144.24 Nd.upf
Mg 24.30 Mg.upf
Ni 58.69 Ni.upf
CELL_PARAMETERS angstrom
3.699 0.000 0.000
0.000 8.864 0.000
-1.844 0.000 6.233
ATOMIC_POSITIONS angstrom
Nd 0.005 0.527 1.684
Nd 0.005 3.905 1.684
Nd 1.850 4.959 4.550
Nd 1.850 8.337 4.550
Mg 0.003 2.216 5.283
Mg 1.852 6.648 0.951
Ni -0.001 6.648 3.067
Ni 1.856 2.216 3.166
```

excess energy over the best structure of this formula in the dataset	0.07	eV per formula unit
SG	P2_1/m, No. 11
density	6.036	g cm⁻³
DFT formation energy	-0.6	eV per formula unit

***

# 10
Below is crystalline NdMg5Ni at its relaxed geometry, with properties calculated at the PBE level. Values from VASP.

Quantum ESPRESSO input file:
```
&SYSTEM
  ibrav = 0, nat = 14, ntyp = 3
/
ATOMIC_SPECIES
Nd 144.24 Nd.upf
Mg 24.30 Mg.upf
Ni 58.69 Ni.upf
CELL_PARAMETERS angstrom
2.198 -5.030 0.000
2.198 5.030 0.000
0.000 0.000 14.016
ATOMIC_POSITIONS angstrom
Nd 2.198 3.951 10.512
Nd 2.198 -3.951 3.504
Mg 0.000 0.000 0.000
Mg 0.000 0.000 7.008
Mg 2.198 2.058 1.063
Mg 2.198 2.058 5.945
Mg 2.198 1.005 8.996
Mg 2.198 1.005 12.028
Mg 2.198 -1.005 1.988
Mg 2.198 -1.005 5.020
Mg 2.198 -2.058 8.071
Mg 2.198 -2.058 12.953
Ni 2.198 3.209 3.504
Ni 2.198 -3.209 10.512
```

SG	Cmcm, No. 63
density	3.476	g cm⁻³
DFT formation energy	-1.0	eV per formula unit

***

> Which value of density does entry 8 give?

5.753 g cm⁻³